The following is a GGA+U calculation of crystalline TiCrO3 at its relaxed geometry, from Alexandria via LeMat-Bulk.

a b c (Å): 5.2984 5.1995 5.4891
angles (deg): 64.97 66.73 57.89
Closest atoms and distances in Å follow each position.
Element x y z (fractional)
O: 0.0873 0.7789 0.7109  2 Ti 1.87-2.07, 1 Cr 2.05
O: 0.5505 0.9572 0.2589  2 Ti 1.95-2.14, 2 Cr 2.09-2.11
O: 0.9127 0.2211 0.2891  2 Ti 1.87-2.07, 1 Cr 2.05
O: 0.8091 0.4404 0.7372  1 Ti 1.87, 1 Cr 2.08
O: 0.1909 0.5596 0.2628  1 Ti 1.87, 1 Cr 2.08
O: 0.4495 0.0428 0.7411  2 Ti 1.95-2.14, 2 Cr 2.09-2.11
Ti: 0.1465 0.1458 0.5575  4 O 1.87-2.07
Ti: 0.8535 0.8542 0.4425  4 O 1.87-2.07
Cr: 0.3536 0.3558 0.9438  4 O 2.05-2.11
Cr: 0.6464 0.6442 0.0562  4 O 2.05-2.11

Values from the calculation:
The raw total energy comes out at -8.522 eV per atom. The size of the total moment is 8.000 μB per cell. The space-group type is P-1. The calculation puts the calculated volume at 11.317 Å³/atom.